The following is a PBE calculation of crystalline Hf3CoC at its relaxed geometry, from the Open Quantum Materials Database.

a = 5.8095 Å, b = 5.8095 Å, c = 8.7602 Å
α = 90.00°, β = 90.00°, γ = 147.26°
Fractional coordinates of all 10 atoms:
Hf  0.6333  0.3667  0.5650
Hf  0.9312  0.0688  0.7500
Hf  0.3667  0.6333  0.4350
Co  0.2519  0.7481  0.7500
Co  0.7481  0.2519  0.2500
Hf  0.6333  0.3667  0.9350
Hf  0.3667  0.6333  0.0650
C  0.0000  0.0000  0.0000
Hf  0.0688  0.9312  0.2500
C  0.0000  0.0000  0.5000

Properties
Size of the total moment, Bohr magnetons per cell: 0.011
E_tot, eV per formula unit: -48.98
Space-group type: Cmcm (63)